VASP calculation (GGA-PBE) on a relaxed Pr5Y4Er crystal.

Geometry as POSCAR:
```
Pr5Y4Er
1.0
-5.3150 5.3150 3.0790
5.3150 -5.3150 3.0790
5.3150 5.3150 -3.0790
Pr Y Er
5 4 1
Direct
0.0000 0.0000 0.0000 Pr
0.5385 0.5392 0.6232 Pr
0.5392 0.9161 0.0008 Pr
0.9153 0.5385 0.9992 Pr
0.9161 0.9153 0.3768 Pr
0.2451 0.5700 0.3241 Y
0.2459 0.9209 0.6759 Y
0.5700 0.2459 0.3249 Y
0.9209 0.2451 0.6751 Y
0.4645 0.4645 0.0000 Er
```

Summary:
As for the space group: I4 (79). The value obtained for the formation energy is 2.50 eV per formula unit. The value obtained for the calculated total energy is -51.82 eV per formula unit. The crystal system is tetragonal. The density is 5.9 g/cm3.